Entry 1:
Compound: BaSiAs
Source: Alexandria via LeMat-Bulk
Functional: PBE
Structure: optimized geometry

Results
The value obtained for the calculated volume is 176.7 Å³/cell. As for the formation energy without anion corrections: -575 meV per atom. As for the polymorph energy (0 for the lowest one): 0.019 eV per atom. The calculation puts the density of states at the Fermi level at 1.9 states/eV/f.u.

The structure in CIF format:
```
data_BaSiAs
_chemical_formula_sum 'Ba2 Si2 As2'
_cell_length_a 4.413
_cell_length_b 4.778
_cell_length_c 8.379
_cell_angle_alpha 90.00
_cell_angle_beta 90.00
_cell_angle_gamma 90.00
_space_group_name_H-M_alt 'P m m a'
_space_group_IT_number 51
loop_
_space_group_symop_operation_xyz
'x,y,z'
'-x,-y,-z'
'-x+1/2,-y,z'
'x+1/2,y,-z'
'x+1/2,-y,-z'
'-x+1/2,y,z'
'-x,y,-z'
'x,-y,z'
loop_
_atom_site_label
_atom_site_fract_x
_atom_site_fract_y
_atom_site_fract_z
_atom_site_occupancy
Ba1 0.250 0.000 0.241 1
Si1 0.250 0.500 0.567 1
As1 0.250 0.500 0.848 1
```



Entry 2:
Compound: BaSrMg2
Source: Alexandria via LeMat-Bulk
Functional: PBE
Structure: optimized geometry

Results
The value obtained for the calculated volume is 502.6 Å³/cell. As for the formation energy: 147 meV per atom. As for the polymorph energy (0 for the lowest one): 0.207 eV per atom. The calculation puts the density of states at the Fermi level at 4.9 states/eV/f.u.

The structure in CIF format:
```
data_BaSrMg2
_chemical_formula_sum 'Ba3 Sr3 Mg6'
_cell_length_a 4.1257
_cell_length_b 4.1257
_cell_length_c 34.0920
_cell_angle_alpha 90.00
_cell_angle_beta 90.00
_cell_angle_gamma 120.00
_space_group_name_H-M_alt 'R 3 m'
_space_group_IT_number 160
_space_group_name_Hall 'R 3 -2"'
loop_
_atom_site_label
_atom_site_fract_x
_atom_site_fract_y
_atom_site_fract_z
_atom_site_occupancy
Ba1 0.0000 0.0000 0.0000 1
Sr1 0.0000 0.0000 0.7771 1
Mg1 0.0000 0.0000 0.2493 1
Mg2 0.0000 0.0000 0.5236 1
```



Entry 3:
Compound: ZrPt2W
Source: Alexandria via LeMat-Bulk
Functional: PBE
Structure: optimized geometry

Results
The value obtained for the calculated volume is 134.3 Å³/cell. As for the formation energy: -495 meV per atom. The calculation puts the density of states at the Fermi level at 3.4 states/eV/f.u.

The structure in CIF format:
```
data_ZrPt2W
_chemical_formula_sum 'Zr2 Pt4 W2'
_cell_length_a 4.036
_cell_length_b 4.036
_cell_length_c 8.245
_cell_angle_alpha 90.00
_cell_angle_beta 90.00
_cell_angle_gamma 90.00
_space_group_name_H-M_alt 'I 4/m m m'
_space_group_IT_number 139
_space_group_name_Hall '-I 4 2'
loop_
_atom_site_label
_atom_site_fract_x
_atom_site_fract_y
_atom_site_fract_z
_atom_site_occupancy
Zr1 0.000 0.000 0.000 1
Pt1 0.000 0.500 0.250 1
W1 0.000 0.000 0.500 1
```



Entry 4:
Compound: Dy2ScTe
Source: Alexandria via LeMat-Bulk
Functional: PBE
Structure: optimized geometry

Results
The value obtained for the calculated volume is 359.9 Å³/cell. As for the formation energy without anion corrections: -471 meV per atom. As for the polymorph energy (0 for the lowest one): 0.089 eV per atom. The calculation puts the density of states at the Fermi level at 5.7 states/eV/f.u.

The structure in CIF format:
```
data_Dy2ScTe
_chemical_formula_sum 'Dy6 Sc3 Te3'
_cell_length_a 3.8229
_cell_length_b 3.8229
_cell_length_c 28.4378
_cell_angle_alpha 90.00
_cell_angle_beta 90.00
_cell_angle_gamma 120.00
_space_group_name_H-M_alt 'R 3 m'
_space_group_IT_number 160
_space_group_name_Hall 'R 3 -2"'
loop_
_atom_site_label
_atom_site_fract_x
_atom_site_fract_y
_atom_site_fract_z
_atom_site_occupancy
Dy1 0.0000 0.0000 0.0000 1
Dy2 0.0000 0.0000 0.1819 1
Sc1 0.0000 0.0000 0.7581 1
Te1 0.0000 0.0000 0.5909 1
```



Entry 5:
Compound: TlSi2Pb
Source: Alexandria via LeMat-Bulk
Functional: PBE
Structure: optimized geometry

Results
The value obtained for the calculated volume is 384.1 Å³/cell. As for the formation energy without anion corrections: 663 meV per atom. As for the polymorph energy (0 for the lowest one): 0.468 eV per atom. The calculation puts the density of states at the Fermi level at 1.7 states/eV/f.u.

The structure in CIF format:
```
data_TlSi2Pb
_chemical_formula_sum 'Tl4 Si8 Pb4'
_cell_length_a 7.269
_cell_length_b 7.269
_cell_length_c 7.269
_cell_angle_alpha 90.00
_cell_angle_beta 90.00
_cell_angle_gamma 90.00
_space_group_name_H-M_alt 'F -4 3 m'
_space_group_IT_number 216
_space_group_name_Hall 'F -4 2 3'
loop_
_atom_site_label
_atom_site_fract_x
_atom_site_fract_y
_atom_site_fract_z
_atom_site_occupancy
Tl1 0.000 0.000 0.000 1
Si1 0.000 0.000 0.500 1
Si2 0.250 0.250 0.750 1
Pb1 0.250 0.250 0.250 1
```



Entry 6:
Compound: LiLaAu
Source: Alexandria via LeMat-Bulk
Functional: PBE
Structure: optimized geometry

Results
The value obtained for the calculated volume is 348.7 Å³/cell. As for the formation energy: -23 meV per atom. As for the polymorph energy (0 for the lowest one): 0.538 eV per atom. The calculation puts the density of states at the Fermi level at 3.9 states/eV/f.u.

The structure in CIF format:
```
data_LiLaAu
_chemical_formula_sum 'Li4 La4 Au4'
_cell_length_a 7.039
_cell_length_b 7.039
_cell_length_c 7.039
_cell_angle_alpha 90.00
_cell_angle_beta 90.00
_cell_angle_gamma 90.00
_space_group_name_H-M_alt 'F -4 3 m'
_space_group_IT_number 216
_space_group_name_Hall 'F -4 2 3'
loop_
_atom_site_label
_atom_site_fract_x
_atom_site_fract_y
_atom_site_fract_z
_atom_site_occupancy
Li1 0.000 0.000 0.000 1
La1 0.250 0.250 0.750 1
Au1 0.000 0.000 0.500 1
```



Entry 7:
Compound: TbNd2Dy5
Source: Alexandria via LeMat-Bulk
Functional: PBE
Structure: optimized geometry

Results
The value obtained for the calculated volume is 518.2 Å³/cell. As for the formation energy: 18 meV per atom. As for the polymorph energy (0 for the lowest one): 0.000 eV per atom. The calculation puts the density of states at the Fermi level at 10.8 states/eV/f.u.

The structure in CIF format:
```
data_TbNd2Dy5
_chemical_formula_sum 'Tb2 Nd4 Dy10'
_cell_length_a 7.158
_cell_length_b 14.317
_cell_length_c 5.057
_cell_angle_alpha 90.00
_cell_angle_beta 90.00
_cell_angle_gamma 90.00
_space_group_name_H-M_alt 'P b a m'
_space_group_IT_number 55
loop_
_space_group_symop_operation_xyz
'x,y,z'
'-x,-y,-z'
'-x,-y,z'
'x,y,-z'
'x+1/2,-y+1/2,-z'
'-x+1/2,y+1/2,z'
'-x+1/2,y+1/2,-z'
'x+1/2,-y+1/2,z'
loop_
_atom_site_label
_atom_site_fract_x
_atom_site_fract_y
_atom_site_fract_z
_atom_site_occupancy
Tb1 0.000 0.000 0.000 1
Nd1 0.250 0.125 0.500 1
Dy1 0.000 0.250 0.000 1
Dy2 0.000 0.500 0.000 1
Dy3 0.250 0.375 0.500 1
```



Entry 8:
Compound: MgFeCl2
Source: Alexandria via LeMat-Bulk
Functional: PBE
Structure: optimized geometry

Results
The value obtained for the calculated volume is 340.9 Å³/cell. As for the formation energy without anion corrections: -242 meV per atom. As for the polymorph energy (0 for the lowest one): 0.278 eV per atom. The calculation puts the density of states at the Fermi level at 3.5 states/eV/f.u.

The structure in CIF format:
```
data_MgFeCl2
_chemical_formula_sum 'Mg4 Fe4 Cl8'
_cell_length_a 5.441
_cell_length_b 5.441
_cell_length_c 11.516
_cell_angle_alpha 90.00
_cell_angle_beta 90.00
_cell_angle_gamma 90.00
_space_group_name_H-M_alt 'I -4 2 d'
_space_group_IT_number 122
_space_group_name_Hall 'I -4 2bw'
loop_
_atom_site_label
_atom_site_fract_x
_atom_site_fract_y
_atom_site_fract_z
_atom_site_occupancy
Mg1 0.000 0.000 0.000 1
Fe1 0.000 0.000 0.500 1
Cl1 0.226 0.250 0.625 1
```



Entry 9:
Compound: Co2AsPb
Source: Alexandria via LeMat-Bulk
Functional: PBE
Structure: optimized geometry

Results
The value obtained for the calculated volume is 71.5 Å³/cell. As for the formation energy: 207 meV per atom. As for the polymorph energy (0 for the lowest one): 0.092 eV per atom. The calculation puts the density of states at the Fermi level at 4.8 states/eV/f.u.

The structure in CIF format:
```
data_Co2AsPb
_chemical_formula_sum 'Co2 As1 Pb1'
_cell_length_a 3.083
_cell_length_b 3.083
_cell_length_c 7.522
_cell_angle_alpha 90.00
_cell_angle_beta 90.00
_cell_angle_gamma 90.00
_space_group_name_H-M_alt 'P 4 m m'
_space_group_IT_number 99
loop_
_space_group_symop_operation_xyz
'x,y,z'
'-y,x,z'
'-x,-y,z'
'y,-x,z'
'-x,y,z'
'y,x,z'
'x,-y,z'
'-y,-x,z'
loop_
_atom_site_label
_atom_site_fract_x
_atom_site_fract_y
_atom_site_fract_z
_atom_site_occupancy
Co1 0.000 0.000 0.000 1
Co2 0.500 0.500 0.161 1
As1 0.500 0.500 0.835 1
Pb1 0.000 0.000 0.419 1
```



Entry 10:
Compound: Mg2Al5Ni3
Source: Alexandria via LeMat-Bulk
Functional: PBE
Structure: optimized geometry

Results
The value obtained for the calculated volume is 609.8 Å³/cell. As for the formation energy: -341 meV per atom. The calculation puts the density of states at the Fermi level at 3.9 states/eV/f.u.

The structure in CIF format:
```
data_Mg2Al5Ni3
_chemical_formula_sum 'Mg8 Al20 Ni12'
_cell_length_a 3.994
_cell_length_b 23.595
_cell_length_c 6.471
_cell_angle_alpha 90.00
_cell_angle_beta 90.00
_cell_angle_gamma 90.00
_space_group_name_H-M_alt 'C m c 21'
_space_group_IT_number 36
loop_
_space_group_symop_operation_xyz
'x,y,z'
'-x,-y,z+1/2'
'-x,y,z'
'x,-y,z+1/2'
'x+1/2,y+1/2,z'
'-x+1/2,-y+1/2,z+1/2'
'-x+1/2,y+1/2,z'
'x+1/2,-y+1/2,z+1/2'
loop_
_atom_site_label
_atom_site_fract_x
_atom_site_fract_y
_atom_site_fract_z
_atom_site_occupancy
Mg1 0.000 0.025 0.000 1
Mg2 0.000 0.320 0.117 1
Al1 0.000 0.095 0.384 1
Al2 0.000 0.207 0.933 1
Al3 0.000 0.211 0.339 1
Al4 0.000 0.375 0.548 1
Al5 0.000 0.441 0.170 1
Ni1 0.000 0.116 0.760 1
Ni2 0.000 0.272 0.641 1
Ni3 0.000 0.459 0.790 1
```



Entry 11:
Compound: HfZrRu
Source: Alexandria via LeMat-Bulk
Functional: PBE
Structure: optimized geometry

Results
The value obtained for the calculated volume is 113.6 Å³/cell. As for the formation energy: -451 meV per atom. As for the polymorph energy (0 for the lowest one): 0.000 eV per atom. The calculation puts the density of states at the Fermi level at 3.4 states/eV/f.u.

The structure in CIF format:
```
data_HfZrRu
_chemical_formula_sum 'Hf2 Zr2 Ru2'
_cell_length_a 3.281
_cell_length_b 3.281
_cell_length_c 10.554
_cell_angle_alpha 90.00
_cell_angle_beta 90.00
_cell_angle_gamma 90.00
_space_group_name_H-M_alt 'I 4 m m'
_space_group_IT_number 107
_space_group_name_Hall 'I 4 -2'
loop_
_atom_site_label
_atom_site_fract_x
_atom_site_fract_y
_atom_site_fract_z
_atom_site_occupancy
Hf1 0.000 0.000 0.000 1
Zr1 0.000 0.000 0.305 1
Ru1 0.000 0.000 0.648 1
```



Entry 12:
Compound: MnNbCoHSe2
Source: Alexandria via LeMat-Bulk
Functional: PBE
Structure: optimized geometry

Results
The value obtained for the calculated volume is 187.6 Å³/cell. As for the polymorph energy (0 for the lowest one): 0.057 eV per atom. The calculation puts the density of states at the Fermi level at 3.8 states/eV/f.u.

The structure in CIF format:
```
data_MnNbCoHSe2
_chemical_formula_sum 'Mn2 Nb2 Co2 H2 Se4'
_cell_length_a 3.313
_cell_length_b 3.759
_cell_length_c 15.060
_cell_angle_alpha 90.00
_cell_angle_beta 90.00
_cell_angle_gamma 90.00
_space_group_name_H-M_alt 'A m m 2'
_space_group_IT_number 38
loop_
_space_group_symop_operation_xyz
'x,y,z'
'-x,-y,z'
'-x,y,z'
'x,-y,z'
'x,y+1/2,z+1/2'
'-x,-y+1/2,z+1/2'
'-x,y+1/2,z+1/2'
'x,-y+1/2,z+1/2'
loop_
_atom_site_label
_atom_site_fract_x
_atom_site_fract_y
_atom_site_fract_z
_atom_site_occupancy
Mn1 0.000 0.000 0.000 1
Nb1 0.500 0.000 0.612 1
Co1 0.500 0.000 0.456 1
H1 0.000 0.000 0.498 1
Se1 0.000 0.000 0.177 1
Se2 0.500 0.000 0.870 1
```



Q: The lowest calculated volume belongs to which entry?
A: Co2AsPb